## TbYTm4 (GGA-PBE)

Data for a relaxed structure of TbYTm4.

```
data_TbYTm4
_symmetry_space_group_name_H-M 'F -4 3 m'
_symmetry_Int_Tables_number 216
_symmetry_space_group_name_Hall 'F -4 2 3'
_cell_length_a 9.200
_cell_length_b 9.200
_cell_length_c 9.200
_cell_angle_alpha 90.00
_cell_angle_beta 90.00
_cell_angle_gamma 90.00
loop_
_atom_site_label
_atom_site_fract_x
_atom_site_fract_y
_atom_site_fract_z
Tb1 0.000 0.000 0.000
Y1 0.250 0.250 0.250
Tm1 0.125 0.125 0.625
```

- Polymorph energy (0 for the lowest one): 183 meV/atom
- Density of states at the Fermi level: 11.88 states/eV/f.u.